Lu2GaPb: optimized geometry, PBE.

CIF file:
```
data_Lu2GaPb
_chemical_formula_sum 'Lu2 Ga1 Pb1'
_symmetry_space_group_name_H-M 'P 4/m m m'
_symmetry_Int_Tables_number 123
_symmetry_space_group_name_Hall '-P 4 2'
_cell_length_a 4.8050
_cell_length_b 4.8050
_cell_length_c 4.2278
_cell_angle_alpha 90.00
_cell_angle_beta 90.00
_cell_angle_gamma 90.00
loop_
_atom_site_label
_atom_site_type_symbol
_atom_site_fract_x
_atom_site_fract_y
_atom_site_fract_z
_atom_site_occupancy
Lu1 Lu 0.0000 0.5000 0.0000 1
Ga1 Ga 0.0000 0.0000 0.5000 1
Pb1 Pb 0.5000 0.5000 0.5000 1
```

## Properties
- density (g/cm³) = 10.66
- D(E_F) (states/eV/f.u.) = 2.555
- E_form (eV per formula unit) = -1.5
- crystal system = tetragonal
- M_tot (μB per atom) = 0.000